Record 1
The following is a DFT calculation (PBE-GGA) of a relaxed Cs2K2Zn crystal.

Properties
Size of the total moment in μB/f.u.: 0.0
E_form in eV/atom: 0.145

a = 9.668 Å, b = 9.668 Å, c = 7.873 Å
α = 90.00°, β = 90.00°, γ = 90.00°
Positions (direct):
Cs 0.183 0.317 0.000
Cs 0.317 0.817 0.000
Cs 0.683 0.183 0.000
Cs 0.817 0.683 0.000
K 0.160 0.660 0.500
K 0.340 0.160 0.500
K 0.660 0.840 0.500
K 0.840 0.340 0.500
Zn 0.000 0.000 0.500
Zn 0.500 0.500 0.500

---

Record 2
The following is a DFT calculation (PBE-GGA) of a relaxed Hf4ZnFe3 crystal.

Properties
Size of the total moment in μB/f.u.: 0.4
E_form in eV/atom: -0.285

a = 3.171 Å, b = 3.171 Å, c = 12.841 Å
α = 90.00°, β = 90.00°, γ = 90.00°
Positions (direct):
Hf 0.000 0.000 0.121
Hf 0.000 0.000 0.362
Hf 0.000 0.000 0.638
Hf 0.000 0.000 0.879
Zn 0.500 0.500 0.500
Fe 0.500 0.500 0.000
Fe 0.500 0.500 0.245
Fe 0.500 0.500 0.755

---

Record 3
The following is a DFT calculation (PBE-GGA) of a relaxed LiCu2Hg crystal.

Properties
Size of the total moment in μB/f.u.: 0.0
E_form in eV/atom: 0.056

a = 5.301 Å, b = 5.301 Å, c = 2.824 Å
α = 103.73°, β = 103.73°, γ = 119.89°
Positions (direct):
Li 0.000 0.000 0.000
Cu 0.000 0.500 0.500
Cu 0.500 0.000 0.500
Hg 0.500 0.500 0.000

---

Record 4
The following is a DFT calculation (PBE-GGA) of a relaxed Cd2CoBr crystal.

Properties
Size of the total moment in μB/f.u.: 1.2
Formation energy from raw total energies in eV per formula unit: 1.73

a = 5.109 Å, b = 5.109 Å, c = 3.191 Å
α = 90.00°, β = 90.00°, γ = 90.00°
Positions (direct):
Cd 0.000 0.500 0.000
Cd 0.500 0.000 0.000
Co 0.000 0.000 0.500
Br 0.500 0.500 0.500

---

Record 5
The following is a DFT calculation (PBE-GGA) of a relaxed NbPtI2 crystal.

Properties
Size of the total moment in μB/f.u.: 0.0
Formation energy from raw total energies in eV per formula unit: 2.54

a = 4.971 Å, b = 4.971 Å, c = 4.971 Å
α = 60.00°, β = 60.00°, γ = 60.00°
Positions (direct):
Nb 0.000 0.000 0.000
Pt 0.500 0.500 0.500
I 0.250 0.250 0.250
I 0.750 0.750 0.750

---

Record 6
The following is a DFT calculation (PBE-GGA) of a relaxed Tm3Pd2Au crystal.

Properties
Size of the total moment in μB/f.u.: 0.0
E_form in eV/atom: -0.918

a = 4.937 Å, b = 4.937 Å, c = 12.108 Å
α = 90.00°, β = 90.00°, γ = 120.00°
Positions (direct):
Tm 0.000 0.000 0.246
Tm 0.000 0.000 0.754
Tm 0.333 0.667 0.415
Tm 0.333 0.667 0.919
Tm 0.667 0.333 0.081
Tm 0.667 0.333 0.585
Pd 0.000 0.000 0.000
Pd 0.000 0.000 0.500
Pd 0.333 0.667 0.162
Pd 0.667 0.333 0.838
Au 0.333 0.667 0.665
Au 0.667 0.333 0.335

---

Record 7
The following is a DFT calculation (PBE-GGA) of a relaxed MgNp2UAs4 crystal.

Properties
Size of the total moment in μB/f.u.: 2.3
E_form in eV/atom: -0.585

a = 7.007 Å, b = 4.140 Å, c = 7.011 Å
α = 90.00°, β = 110.71°, γ = 90.00°
Positions (direct):
Mg 0.000 0.000 0.000
Np 0.000 0.500 0.500
Np 0.500 0.000 0.500
U 0.500 0.500 0.000
As 0.247 0.500 0.244
As 0.250 0.000 0.753
As 0.750 0.000 0.247
As 0.753 0.500 0.756

---

Record 8
The following is a DFT calculation (PBE-GGA) of a relaxed Y3CuHg2 crystal.

Properties
Size of the total moment in μB/f.u.: 0.0
E_form in eV/atom: -0.409

a = 3.616 Å, b = 3.616 Å, c = 11.201 Å
α = 90.00°, β = 90.00°, γ = 90.00°
Positions (direct):
Y 0.000 0.000 0.000
Y 0.000 0.000 0.350
Y 0.000 0.000 0.650
Cu 0.500 0.500 0.500
Hg 0.500 0.500 0.174
Hg 0.500 0.500 0.826